(1)
Entry from Alexandria via LeMat-Bulk: crystalline Pr2Si3Ni2 at its relaxed geometry (PBE-GGA).

As for the excess energy over the best structure of this formula in the dataset: 0 meV per atom. The value obtained for the total magnetic moment is 0.0 μB/cell. As for the symmetry: Cmcm. The calculation puts the raw formation energy at -0.67 eV per atom. For the calculated volume, the calculation gives 255.0 Å³ per cell.

abc: 9.154 9.154 6.725
angles: 90.00 90.00 153.09
Atoms (fractional coordinates):
Pr1 0.054 0.946 0.750
Pr2 0.159 0.841 0.250
Pr3 0.841 0.159 0.750
Pr4 0.946 0.054 0.250
Si1 0.223 0.777 0.750
Si2 0.437 0.563 0.569
Si3 0.437 0.563 0.931
Si4 0.563 0.437 0.069
Si5 0.563 0.437 0.431
Si6 0.777 0.223 0.250
Ni1 0.306 0.694 0.054
Ni2 0.306 0.694 0.446
Ni3 0.694 0.306 0.554
Ni4 0.694 0.306 0.946


(2)
Entry from Alexandria via LeMat-Bulk: crystalline Pr3Si4Ni2 at its relaxed geometry (PBE-GGA).

As for the excess energy over the best structure of this formula in the dataset: 0 meV per atom. The value obtained for the total magnetic moment is 0.0 μB/cell. As for the symmetry: C2/m. The calculation puts the raw formation energy at -0.77 eV per atom. For the calculated volume, the calculation gives 183.5 Å³ per cell.

abc: 5.928 5.928 8.246
angles: 97.72 97.72 39.77
Atoms (fractional coordinates):
Pr1 0.000 0.000 0.000
Pr2 0.336 0.336 0.338
Pr3 0.664 0.664 0.662
Si1 0.056 0.056 0.382
Si2 0.281 0.281 0.933
Si3 0.719 0.719 0.067
Si4 0.944 0.944 0.618
Ni1 0.392 0.392 0.722
Ni2 0.608 0.608 0.278


(3)
Entry from Alexandria via LeMat-Bulk: crystalline PrSi2Ni at its relaxed geometry (PBE-GGA).

The value obtained for the total magnetic moment is 0.0 μB/cell. As for the symmetry: Pnma. The calculation puts the raw formation energy at -0.76 eV per atom. For the calculated volume, the calculation gives 285.4 Å³ per cell.

abc: 6.871 4.028 10.314
angles: 90.00 90.00 90.00
Atoms (fractional coordinates):
Pr1 0.156 0.250 0.126
Pr2 0.344 0.750 0.626
Pr3 0.656 0.250 0.374
Pr4 0.844 0.750 0.874
Si1 0.154 0.250 0.430
Si2 0.171 0.250 0.828
Si3 0.329 0.750 0.328
Si4 0.346 0.750 0.930
Si5 0.654 0.250 0.070
Si6 0.671 0.250 0.672
Si7 0.829 0.750 0.172
Si8 0.846 0.750 0.570
Ni1 0.001 0.250 0.636
Ni2 0.499 0.750 0.136
Ni3 0.501 0.250 0.864
Ni4 0.999 0.750 0.364


(4)
Entry from Alexandria via LeMat-Bulk: crystalline Pr4SiNi3 at its relaxed geometry (PBE-GGA).

The value obtained for the total magnetic moment is 0.0 μB/cell. As for the symmetry: Pmm2. The calculation puts the raw formation energy at -0.40 eV per atom. For the calculated volume, the calculation gives 185.6 Å³ per cell.

abc: 4.141 4.230 10.597
angles: 90.00 90.00 90.00
Atoms (fractional coordinates):
Pr1 0.000 0.000 0.000
Pr2 0.000 0.500 0.276
Pr3 0.500 0.000 0.489
Pr4 0.500 0.500 0.778
Si1 0.000 0.000 0.697
Ni1 0.000 0.500 0.574
Ni2 0.500 0.000 0.203
Ni3 0.500 0.500 0.076


(5)
Entry from Alexandria via LeMat-Bulk: crystalline Pr3Si4Ni2 at its relaxed geometry (PBE-GGA).

As for the excess energy over the best structure of this formula in the dataset: 50 meV per atom. The value obtained for the total magnetic moment is 0.0 μB/cell. As for the symmetry: C2/m. The calculation puts the raw formation energy at -0.72 eV per atom. For the calculated volume, the calculation gives 178.2 Å³ per cell.

abc: 5.937 5.937 8.332
angles: 108.66 108.66 40.18
Atoms (fractional coordinates):
Pr1 0.000 0.000 0.000
Pr2 0.393 0.393 0.318
Pr3 0.607 0.607 0.682
Si1 0.139 0.139 0.412
Si2 0.275 0.275 0.930
Si3 0.725 0.725 0.070
Si4 0.861 0.861 0.588
Ni1 0.319 0.319 0.679
Ni2 0.681 0.681 0.321


(6)
Entry from Alexandria via LeMat-Bulk: crystalline Pr2Si3Ni at its relaxed geometry (PBE-GGA).

The value obtained for the total magnetic moment is 0.0 μB/cell. As for the symmetry: P-6m2. The calculation puts the raw formation energy at -0.67 eV per atom. For the calculated volume, the calculation gives 122.6 Å³ per cell.

abc: 4.065 4.065 8.563
angles: 90.00 90.00 120.00
Atoms (fractional coordinates):
Pr1 0.000 0.000 0.246
Pr2 0.000 0.000 0.754
Si1 0.333 0.667 0.500
Si2 0.667 0.333 0.000
Si3 0.667 0.333 0.500
Ni1 0.333 0.667 0.000


(7)
Entry from Alexandria via LeMat-Bulk: crystalline Pr6Si3Ni2 at its relaxed geometry (PBE-GGA).

The value obtained for the total magnetic moment is 0.0 μB/cell. As for the symmetry: Pm. The calculation puts the raw formation energy at -0.46 eV per atom. For the calculated volume, the calculation gives 551.9 Å³ per cell.

abc: 11.774 4.520 11.858
angles: 90.00 119.00 90.00
Atoms (fractional coordinates):
Pr1 0.000 0.000 0.000
Pr2 0.008 0.500 0.239
Pr3 0.110 0.500 0.607
Pr4 0.222 0.500 0.983
Pr5 0.253 0.000 0.459
Pr6 0.377 0.000 0.844
Pr7 0.465 0.000 0.206
Pr8 0.486 0.500 0.447
Pr9 0.619 0.000 0.732
Pr10 0.722 0.000 0.079
Pr11 0.764 0.500 0.355
Pr12 0.856 0.500 0.698
Si1 0.080 0.000 0.780
Si2 0.398 0.500 0.662
Si3 0.520 0.500 0.060
Si4 0.573 0.500 0.885
Si5 0.799 0.500 0.933
Si6 0.907 0.000 0.547
Ni1 0.241 0.253 0.226
Ni2 0.241 0.747 0.226
Ni3 0.680 0.000 0.487
Ni4 0.953 0.000 0.372


(8)
Entry from Alexandria via LeMat-Bulk: crystalline PrSiNi3 at its relaxed geometry (PBE-GGA).

As for the excess energy over the best structure of this formula in the dataset: 0 meV per atom. The value obtained for the total magnetic moment is 0.0 μB/cell. As for the symmetry: P6_3/mmc. The calculation puts the raw formation energy at -0.37 eV per atom. For the calculated volume, the calculation gives 321.3 Å³ per cell.

abc: 5.745 5.745 11.244
angles: 90.00 90.00 120.00
Atoms (fractional coordinates):
Pr1 0.000 0.000 0.000
Pr2 0.000 0.000 0.500
Pr3 0.333 0.667 0.250
Pr4 0.667 0.333 0.750
Si1 0.333 0.667 0.639
Si2 0.333 0.667 0.861
Si3 0.667 0.333 0.139
Si4 0.667 0.333 0.361
Ni1 0.000 0.500 0.000
Ni2 0.000 0.500 0.500
Ni3 0.139 0.278 0.750
Ni4 0.139 0.861 0.750
Ni5 0.278 0.139 0.250
Ni6 0.500 0.000 0.000
Ni7 0.500 0.000 0.500
Ni8 0.500 0.500 0.000
Ni9 0.500 0.500 0.500
Ni10 0.722 0.861 0.750
Ni11 0.861 0.139 0.250
Ni12 0.861 0.722 0.250


What did the third record say?
Entry from Alexandria via LeMat-Bulk: crystalline PrSi2Ni at its relaxed geometry (PBE-GGA).

The value obtained for the total magnetic moment is 0.0 μB/cell. As for the symmetry: Pnma. The calculation puts the raw formation energy at -0.76 eV per atom. For the calculated volume, the calculation gives 285.4 Å³ per cell.

abc: 6.871 4.028 10.314
angles: 90.00 90.00 90.00
Atoms (fractional coordinates):
Pr1 0.156 0.250 0.126
Pr2 0.344 0.750 0.626
Pr3 0.656 0.250 0.374
Pr4 0.844 0.750 0.874
Si1 0.154 0.250 0.430
Si2 0.171 0.250 0.828
Si3 0.329 0.750 0.328
Si4 0.346 0.750 0.930
Si5 0.654 0.250 0.070
Si6 0.671 0.250 0.672
Si7 0.829 0.750 0.172
Si8 0.846 0.750 0.570
Ni1 0.001 0.250 0.636
Ni2 0.499 0.750 0.136
Ni3 0.501 0.250 0.864
Ni4 0.999 0.750 0.364


> What is the total magnetic moment in the fourth record?

0.0 μB/cell


> What is the total magnetic moment in the eighth record?

0.0 μB/cell